Entry 1:
# NaAc2SmTe4

A geometry-optimized NaAc2SmTe4 structure (PBE, Alexandria via LeMat-Bulk).

Output
Symmetry = No. 10
Raw formation energy = -1.41 eV per atom
N(E_F) = 3.06 states/eV per cell

Lattice parameters (Å, degrees): 7.9086 4.6249 8.1022 90.00 109.52 90.00
Closest atoms and distances in Å follow each position.
Positions (direct):
Na  0.0000  0.0000  0.0000  6 Te 3.20-3.21
Ac  0.5000  0.0000  0.5000  6 Te 3.33-3.35
Ac  0.5000  0.5000  0.0000  6 Te 3.35
Sm  0.0000  0.5000  0.5000  6 Te 3.19
Te  0.2319  0.0000  0.7440  2 Sm 3.19, 1 Na 3.20, 3 Ac 3.35
Te  0.2341  0.5000  0.2465  1 Sm 3.19, 2 Na 3.21, 3 Ac 3.33-3.35
Te  0.7659  0.5000  0.7535  1 Sm 3.19, 2 Na 3.21, 3 Ac 3.33-3.35
Te  0.7681  0.0000  0.2560  2 Sm 3.19, 1 Na 3.20, 3 Ac 3.35



Entry 2:
# NaAc3Sm3Te8

A geometry-optimized NaAc3Sm3Te8 structure (PBE, Alexandria via LeMat-Bulk).

Output
Symmetry = No. 166
Raw formation energy = -1.43 eV per atom
N(E_F) = 4.89 states/eV per cell

Lattice parameters (Å, degrees): 9.1841 9.1841 9.1841 59.51 59.51 59.51
Closest atoms and distances in Å follow each position.
Positions (direct):
Na  0.0000  0.0000  0.0000  6 Te 3.26
Ac  0.0000  0.0000  0.5000  6 Te 3.32
Ac  0.0000  0.5000  0.0000  6 Te 3.32
Ac  0.5000  0.0000  0.0000  6 Te 3.32
Sm  0.0000  0.5000  0.5000  6 Te 3.15-3.16
Sm  0.5000  0.0000  0.5000  6 Te 3.15-3.16
Sm  0.5000  0.5000  0.0000  6 Te 3.15-3.16
Te  0.2522  0.2522  0.7356  2 Sm 3.16, 1 Na 3.26, 2 Ac 3.32
Te  0.2522  0.7356  0.2522  2 Sm 3.16, 1 Na 3.26, 2 Ac 3.32
Te  0.2563  0.2563  0.2563  3 Sm 3.15, 3 Ac 3.32
Te  0.2644  0.7478  0.7478  2 Sm 3.16, 1 Na 3.26, 2 Ac 3.32
Te  0.7356  0.2522  0.2522  2 Sm 3.16, 1 Na 3.26, 2 Ac 3.32
Te  0.7437  0.7437  0.7437  3 Sm 3.15, 3 Ac 3.32
Te  0.7478  0.2644  0.7478  2 Sm 3.16, 1 Na 3.26, 2 Ac 3.32
Te  0.7478  0.7478  0.2644  2 Sm 3.16, 1 Na 3.26, 2 Ac 3.32



Entry 3:
# NaAc3Sm2Te6

A geometry-optimized NaAc3Sm2Te6 structure (PBE, Alexandria via LeMat-Bulk).

Output
Symmetry = No. 12
Raw formation energy = -1.42 eV per atom
N(E_F) = 4.73 states/eV per cell

Lattice parameters (Å, degrees): 10.2893 10.2893 9.1955 102.06 102.06 25.93
Closest atoms and distances in Å follow each position.
Positions (direct):
Na  0.0000  0.0000  0.0000  6 Te 3.19-3.24
Ac  0.0000  0.0000  0.5000  6 Te 3.31-3.33
Ac  0.3363  0.3363  0.1679  6 Te 3.31-3.36
Ac  0.6637  0.6637  0.8321  6 Te 3.31-3.36
Sm  0.3299  0.3299  0.6550  6 Te 3.15-3.23
Sm  0.6701  0.6701  0.3450  6 Te 3.15-3.23
Te  0.1649  0.1649  0.0977  2 Sm 3.23, 1 Na 3.24, 3 Ac 3.36
Te  0.1690  0.1690  0.5773  3 Sm 3.15, 3 Ac 3.31
Te  0.4930  0.4930  0.7579  2 Na 3.19, 1 Sm 3.20, 3 Ac 3.33-3.34
Te  0.5070  0.5070  0.2421  2 Na 3.19, 1 Sm 3.20, 3 Ac 3.33-3.34
Te  0.8310  0.8310  0.4227  3 Sm 3.15, 3 Ac 3.31
Te  0.8351  0.8351  0.9023  2 Sm 3.23, 1 Na 3.24, 3 Ac 3.36



Entry 4:
# NaAc2SmTe5

A geometry-optimized NaAc2SmTe5 structure (PBE, Alexandria via LeMat-Bulk).

Output
Symmetry = No. 36
Raw formation energy = -1.39 eV per atom

Lattice parameters (Å, degrees): 9.8990 9.8990 14.1173 90.00 90.00 152.85
Closest atoms and distances in Å follow each position.
Positions (direct):
Na  0.0348  0.9652  0.5000  3 Te 2.87
Na  0.9652  0.0348  0.0000  3 Te 2.87
Ac  0.3676  0.6324  0.3334  8 Te 3.39-3.63
Ac  0.3960  0.6040  0.7177  8 Te 3.38-3.69
Ac  0.6040  0.3960  0.2177  8 Te 3.38-3.69
Ac  0.6324  0.3676  0.8334  8 Te 3.39-3.63
Sm  0.2988  0.7012  0.0415  6 Te 2.99-3.21
Sm  0.7012  0.2988  0.5415  6 Te 2.99-3.21
Te  0.0062  0.9938  0.8045  1 Na 2.87
Te  0.1350  0.8650  0.0313  1 Sm 3.16, 1 Na 3.30
Te  0.1886  0.8114  0.3852  2 Sm 3.21, 1 Na 3.38, 1 Ac 3.52
Te  0.2204  0.7796  0.6952  2 Sm 3.20, 3 Ac 3.39-3.47
Te  0.4442  0.5558  0.1155  2 Na 2.87, 1 Sm 2.99
Te  0.5558  0.4442  0.6155  2 Na 2.87, 1 Sm 2.99
Te  0.7796  0.2204  0.1952  2 Sm 3.20, 3 Ac 3.39-3.47
Te  0.8114  0.1886  0.8852  2 Sm 3.21, 1 Na 3.38, 1 Ac 3.52
Te  0.8650  0.1350  0.5313  1 Sm 3.16, 1 Na 3.30
Te  0.9938  0.0062  0.3045  1 Na 2.87



Entry 5:
# Na4Ac3SmTe8

A geometry-optimized Na4Ac3SmTe8 structure (PBE, Alexandria via LeMat-Bulk).

Output
Symmetry = No. 166
Raw formation energy = -1.37 eV per atom

Lattice parameters (Å, degrees): 9.3146 9.3146 9.3146 60.82 60.82 60.82
Closest atoms and distances in Å follow each position.
Positions (direct):
Na  0.0000  0.0000  0.0000  6 Te 3.43
Na  0.0000  0.5000  0.5000  6 Te 3.30-3.31
Na  0.5000  0.0000  0.5000  6 Te 3.30-3.31
Na  0.5000  0.5000  0.0000  6 Te 3.30-3.31
Ac  0.0000  0.0000  0.5000  6 Te 3.32-3.33
Ac  0.0000  0.5000  0.0000  6 Te 3.32-3.33
Ac  0.5000  0.0000  0.0000  6 Te 3.32-3.33
Sm  0.5000  0.5000  0.5000  6 Te 3.20
Te  0.2505  0.2505  0.2505  3 Na 3.31, 3 Ac 3.32
Te  0.2584  0.2584  0.7396  1 Sm 3.20, 3 Na 3.30-3.43, 2 Ac 3.33
Te  0.2584  0.7396  0.2584  1 Sm 3.20, 3 Na 3.30-3.43, 2 Ac 3.33
Te  0.2604  0.7416  0.7416  1 Sm 3.20, 3 Na 3.30-3.43, 2 Ac 3.33
Te  0.7396  0.2584  0.2584  1 Sm 3.20, 3 Na 3.30-3.43, 2 Ac 3.33
Te  0.7416  0.2604  0.7416  1 Sm 3.20, 3 Na 3.30-3.43, 2 Ac 3.33
Te  0.7416  0.7416  0.2604  1 Sm 3.20, 3 Na 3.30-3.43, 2 Ac 3.33
Te  0.7495  0.7495  0.7495  3 Na 3.31, 3 Ac 3.32



Entry 6:
# Na2AcSm3Te6

A geometry-optimized Na2AcSm3Te6 structure (PBE, Alexandria via LeMat-Bulk).

Output
Symmetry = No. 12
Raw formation energy = -1.37 eV per atom
N(E_F) = 3.91 states/eV per cell

Lattice parameters (Å, degrees): 7.7697 7.7697 8.0536 99.28 99.28 120.01
Closest atoms and distances in Å follow each position.
Positions (direct):
Na  0.1676  0.8324  0.0000  6 Te 3.23-3.25
Na  0.8324  0.1676  0.0000  6 Te 3.23-3.25
Ac  0.5000  0.5000  0.0000  6 Te 3.30
Sm  0.0000  0.0000  0.5000  6 Te 3.14-3.19
Sm  0.3350  0.6650  0.5000  6 Te 3.15-3.19
Sm  0.6650  0.3350  0.5000  6 Te 3.15-3.19
Te  0.0741  0.4133  0.7397  3 Sm 3.15-3.19, 2 Na 3.23-3.25, 1 Ac 3.30
Te  0.2464  0.2464  0.2588  3 Sm 3.14-3.18, 2 Na 3.24, 1 Ac 3.30
Te  0.4133  0.0741  0.7397  3 Sm 3.15-3.19, 2 Na 3.23-3.25, 1 Ac 3.30
Te  0.5867  0.9259  0.2603  3 Sm 3.15-3.19, 2 Na 3.23-3.25, 1 Ac 3.30
Te  0.7536  0.7536  0.7412  3 Sm 3.14-3.18, 2 Na 3.24, 1 Ac 3.30
Te  0.9259  0.5867  0.2603  3 Sm 3.15-3.19, 2 Na 3.23-3.25, 1 Ac 3.30



Entry 7:
# NaAcSm2Te4

A geometry-optimized NaAcSm2Te4 structure (PBE, Alexandria via LeMat-Bulk).

Output
Symmetry = No. 10
Raw formation energy = -1.39 eV per atom
N(E_F) = 3.00 states/eV per cell

Lattice parameters (Å, degrees): 7.8133 4.5104 8.0325 90.00 108.82 90.00
Closest atoms and distances in Å follow each position.
Positions (direct):
Na  0.0000  0.0000  0.0000  6 Te 3.24-3.26
Ac  0.5000  0.5000  0.0000  6 Te 3.30-3.31
Sm  0.0000  0.5000  0.5000  6 Te 3.14-3.15
Sm  0.5000  0.0000  0.5000  6 Te 3.19-3.21
Te  0.2387  0.0000  0.7372  3 Sm 3.15-3.21, 1 Na 3.24, 2 Ac 3.31
Te  0.2489  0.5000  0.2607  3 Sm 3.14-3.19, 2 Na 3.26, 1 Ac 3.30
Te  0.7511  0.5000  0.7393  3 Sm 3.14-3.19, 2 Na 3.26, 1 Ac 3.30
Te  0.7613  0.0000  0.2628  3 Sm 3.15-3.21, 1 Na 3.24, 2 Ac 3.31



Entry 8:
# Na2AcSn6

A geometry-optimized Na2AcSn6 structure (PBE, Alexandria via LeMat-Bulk).

Output
Symmetry = No. 191
Final energy = -32.98 eV/cell
N(E_F) = 3.96 states/eV per cell

Lattice parameters (Å, degrees): 9.2846 9.2846 3.4724 90.00 90.00 120.00
Closest atoms and distances in Å follow each position.
Positions (direct):
Na  0.3333  0.6667  0.0000  2 Na 3.47, 12 Sn 3.53
Na  0.6667  0.3333  0.0000  2 Na 3.47, 12 Sn 3.53
Ac  0.0000  0.0000  0.0000  2 Ac 3.47, 12 Sn 3.59
Sn  0.0000  0.3389  0.5000  3 Sn 2.99-3.15
Sn  0.0000  0.6611  0.5000  3 Sn 2.99-3.15
Sn  0.3389  0.0000  0.5000  3 Sn 2.99-3.15
Sn  0.3389  0.3389  0.5000  3 Sn 2.99-3.15
Sn  0.6611  0.0000  0.5000  3 Sn 2.99-3.15
Sn  0.6611  0.6611  0.5000  3 Sn 2.99-3.15